# MoS3F | Alexandria | GGA+U | relaxed
# - E_tot (eV per atom) = -4.026
# - magnetic moment (μB per cell) = 0.000
# - crystal system = cubic
data_MoS3F
_chemical_formula_sum 'Mo1 S3 F1'
_space_group_name_H-M_alt 'P m -3 m'
_space_group_IT_number 221
_space_group_name_Hall '-P 4 2 3'
_cell_length_a 4.617
_cell_length_b 4.617
_cell_length_c 4.617
_cell_angle_alpha 90.00
_cell_angle_beta 90.00
_cell_angle_gamma 90.00
loop_
_atom_site_label
_atom_site_type_symbol
_atom_site_fract_x
_atom_site_fract_y
_atom_site_fract_z
Mo1 Mo 0.000 0.000 0.000
S1 S 0.000 0.000 0.500
F1 F 0.500 0.500 0.500